## P
VASP calculation (PBE-GGA) on a geometry-optimized ZrNb2Pd2 structure.

Results
DOS(E_F) = 6.30 states/eV/f.u.
size of the total moment = 0.00 μB per formula unit
calculated density = 8.917 Mg/m³

Unit cell a=8.0227 b=8.0227 c=2.8346 alpha=90.00 beta=90.00 gamma=90.00
With the nearest neighbours (Å) after each atom.
Space group P4/mbm (No. 127)
Inequivalent atoms, fractional coordinates:
Zr  0.0000  0.0000  0.0000 (multiplicity 2)  2 Zr 2.83
Nb  0.1206  0.3794  0.0000 (multiplicity 4)  6 Pd 2.71-2.81, 3 Nb 2.74-2.83
Pd  0.1763  0.6763  0.5000 (multiplicity 4)  6 Nb 2.71-2.81, 2 Pd 2.83


## Q
VASP calculation (PBE-GGA) on a geometry-optimized ZrNb2Pd2 structure.

Results
DOS(E_F) = 8.00 states/eV/f.u.
size of the total moment = 0.00 μB per formula unit
calculated density = 8.948 Mg/m³

Unit cell a=7.9630 b=7.9630 c=2.8673 alpha=90.00 beta=90.00 gamma=90.00
With the nearest neighbours (Å) after each atom.
Space group P4/mbm (No. 127)
Inequivalent atoms, fractional coordinates:
Zr  0.0000  0.0000  0.0000 (multiplicity 2)  2 Zr 2.87, 4 Pd 3.15
Nb  0.1730  0.3270  0.5000 (multiplicity 4)  6 Pd 2.70-2.79, 2 Nb 2.87
Pd  0.1238  0.6238  0.0000 (multiplicity 4)  6 Nb 2.70-2.79, 3 Pd 2.79-2.87


In terms of stability, Q leads; the second structure lies 46 meV/atom higher.


## P
VASP calculation (PBE-GGA) on a geometry-optimized ZrNb2Pd9 structure.

Results
DOS(E_F) = 10.95 states/eV/f.u.
size of the total moment = 2.17 μB per formula unit
calculated density = 10.663 Mg/m³

Unit cell a=4.0011 b=4.0011 c=12.0114 alpha=90.00 beta=90.00 gamma=90.00
With the nearest neighbours (Å) after each atom.
Space group P4/mmm (No. 123)
Inequivalent atoms, fractional coordinates:
Zr  0.0000  0.0000  0.0000 (multiplicity 1)  12 Pd 2.83-2.85
Nb  0.0000  0.0000  0.3350 (multiplicity 2)  12 Pd 2.82-2.83
Pd  0.0000  0.5000  0.1695 (multiplicity 4)  8 Pd 2.82-2.85, 2 Nb 2.82, 2 Zr 2.85
Pd  0.0000  0.5000  0.5000 (multiplicity 2)  4 Nb 2.82, 8 Pd 2.82-2.83
Pd  0.5000  0.5000  0.0000 (multiplicity 1)  4 Zr 2.83, 8 Pd 2.85
Pd  0.5000  0.5000  0.3346 (multiplicity 2)  8 Pd 2.82, 4 Nb 2.83


## Q
VASP calculation (PBE-GGA) on a geometry-optimized ZrNb2Pd9 structure.

Results
DOS(E_F) = 5.52 states/eV/f.u.
size of the total moment = 0.00 μB per formula unit
calculated density = 10.692 Mg/m³

Unit cell a=3.9639 b=3.9639 c=24.4110 alpha=90.00 beta=90.00 gamma=90.00
With the nearest neighbours (Å) after each atom.
Space group I4/mmm (No. 139)
Inequivalent atoms, fractional coordinates:
Zr  0.0000  0.0000  0.0000 (multiplicity 2)  12 Pd 2.80-2.89
Nb  0.0000  0.0000  0.3331 (multiplicity 4)  12 Pd 2.79-2.84
Pd  0.0000  0.0000  0.1683 (multiplicity 4)  4 Nb 2.80, 8 Pd 2.81-2.82
Pd  0.0000  0.0000  0.5000 (multiplicity 2)  4 Zr 2.80, 8 Pd 2.89
Pd  0.0000  0.5000  0.0863 (multiplicity 8)  2 Nb 2.79, 8 Pd 2.80-2.89, 2 Zr 2.89
Pd  0.0000  0.5000  0.2500 (multiplicity 4)  8 Pd 2.80-2.81, 4 Nb 2.84


In terms of stability, Q leads; the second structure lies 90 meV/atom higher.


## P
VASP calculation (PBE-GGA) on a geometry-optimized ZrNb2Pd structure.

Results
DOS(E_F) = 4.42 states/eV/f.u.
size of the total moment = 0.00 μB per formula unit
calculated density = 7.985 Mg/m³

Unit cell a=7.7164 b=7.7164 c=5.3572 alpha=90.00 beta=90.00 gamma=90.00
With the nearest neighbours (Å) after each atom.
Space group I-42d (No. 122)
Inequivalent atoms, fractional coordinates:
Zr  0.0000  0.0000  0.0000 (multiplicity 4)  2 Pd 2.68, 4 Nb 2.96
Nb  0.2221  0.2500  0.6250 (multiplicity 8)  2 Pd 2.67, 2 Nb 2.71, 2 Zr 2.96
Pd  0.0000  0.0000  0.5000 (multiplicity 4)  4 Nb 2.67, 2 Zr 2.68


## Q
VASP calculation (PBE-GGA) on a geometry-optimized ZrNb2Pd structure.

Results
DOS(E_F) = 3.34 states/eV/f.u.
size of the total moment = 0.00 μB per formula unit
calculated density = 8.761 Mg/m³

Unit cell a=6.6247 b=6.6247 c=6.6247 alpha=90.00 beta=90.00 gamma=90.00
With the nearest neighbours (Å) after each atom.
Space group Fm-3m (No. 225)
Inequivalent atoms, fractional coordinates:
Zr  0.0000  0.0000  0.0000 (multiplicity 4)  8 Nb 2.87
Nb  0.2500  0.2500  0.2500 (multiplicity 8)  4 Zr 2.87, 4 Pd 2.87
Pd  0.0000  0.0000  0.5000 (multiplicity 4)  8 Nb 2.87


In terms of stability, Q leads; the second structure lies 245 meV/atom higher.


## P
VASP calculation (PBE-GGA) on a geometry-optimized PmNbRu2 structure.

Results
DOS(E_F) = 2.42 states/eV/f.u.
size of the total moment = 0.00 μB per formula unit
calculated density = 9.947 Mg/m³

Unit cell a=4.7297 b=4.7297 c=3.2839 alpha=90.00 beta=90.00 gamma=90.00
With the nearest neighbours (Å) after each atom.
Space group P4/mmm (No. 123)
Inequivalent atoms, fractional coordinates:
Pm  0.0000  0.0000  0.0000 (multiplicity 1)  8 Ru 2.88
Nb  0.5000  0.5000  0.0000 (multiplicity 1)  8 Ru 2.88
Ru  0.0000  0.5000  0.5000 (multiplicity 2)  4 Nb 2.88, 4 Pm 2.88


## Q
VASP calculation (PBE-GGA) on a geometry-optimized PmNbRu2 structure.

Results
DOS(E_F) = 1.66 states/eV/f.u.
size of the total moment = 0.00 μB per formula unit
calculated density = 10.001 Mg/m³

Unit cell a=6.6362 b=6.6362 c=6.6362 alpha=90.00 beta=90.00 gamma=90.00
With the nearest neighbours (Å) after each atom.
Space group Fm-3m (No. 225)
Inequivalent atoms, fractional coordinates:
Pm  0.0000  0.0000  0.0000 (multiplicity 4)  8 Ru 2.87
Nb  0.0000  0.0000  0.5000 (multiplicity 4)  8 Ru 2.87
Ru  0.2500  0.2500  0.2500 (multiplicity 8)  4 Nb 2.87, 4 Pm 2.87


In terms of stability, Q leads; the second structure lies 46 meV/atom higher.


## P
VASP calculation (PBE-GGA) on a geometry-optimized PmNbSb2 structure.

Results
DOS(E_F) = 5.32 states/eV/f.u.
size of the total moment = 0.00 μB per formula unit
calculated density = 8.387 Mg/m³

Unit cell a=7.2512 b=7.2512 c=7.2512 alpha=90.00 beta=90.00 gamma=90.00
With the nearest neighbours (Å) after each atom.
Space group Fm-3m (No. 225)
Inequivalent atoms, fractional coordinates:
Pm  0.0000  0.0000  0.0000 (multiplicity 4)  8 Sb 3.14
Nb  0.0000  0.0000  0.5000 (multiplicity 4)  8 Sb 3.14
Sb  0.2500  0.2500  0.2500 (multiplicity 8)  4 Nb 3.14, 4 Pm 3.14


## Q
VASP calculation (PBE-GGA) on a geometry-optimized PmNbSb2 structure.

Results
DOS(E_F) = 4.88 states/eV/f.u.
size of the total moment = 0.00 μB per formula unit
calculated density = 7.764 Mg/m³

Unit cell a=3.2697 b=3.2697 c=33.3638 alpha=90.00 beta=90.00 gamma=120.00
With the nearest neighbours (Å) after each atom.
Space group R-3m (No. 166, hexagonal axes)
Inequivalent atoms, fractional coordinates:
Pm  0.0000  0.0000  0.0000 (multiplicity 3)  6 Pm 3.27, 6 Sb 3.30
Nb  0.0000  0.0000  0.5000 (multiplicity 3)  2 Sb 2.85
Sb  0.0000  0.0000  0.4146 (multiplicity 6)  1 Nb 2.85


In terms of stability, P leads; the second structure lies 548 meV/atom higher.


## P
VASP calculation (PBE-GGA) on a geometry-optimized PrNbSi structure.

Results
DOS(E_F) = 2.89 states/eV/f.u.
size of the total moment = 0.33 μB per formula unit
calculated density = 6.445 Mg/m³

Unit cell a=4.0427 b=4.0427 c=16.5150 alpha=90.00 beta=90.00 gamma=90.00
With the nearest neighbours (Å) after each atom.
Space group I4/mmm (No. 139)
Inequivalent atoms, fractional coordinates:
Pr  0.0000  0.0000  0.1751 (multiplicity 4)  4 Si 3.03
Nb  0.0000  0.5000  0.0000 (multiplicity 4)  4 Si 2.76, 4 Nb 2.86
Si  0.0000  0.0000  0.3860 (multiplicity 4)  4 Nb 2.76, 4 Pr 3.03


## Q
VASP calculation (PBE-GGA) on a geometry-optimized PrNbSi structure.

Results
DOS(E_F) = 2.37 states/eV/f.u.
size of the total moment = 0.33 μB per formula unit
calculated density = 6.401 Mg/m³

Unit cell a=4.0603 b=4.0603 c=8.2429 alpha=90.00 beta=90.00 gamma=90.00
With the nearest neighbours (Å) after each atom.
Space group P4/nmm (No. 129, origin choice 2)
Inequivalent atoms, fractional coordinates:
Pr  0.2500  0.2500  0.1490 (multiplicity 2)  4 Si 3.07
Nb  0.2500  0.7500  0.5000 (multiplicity 2)  4 Si 2.72, 4 Nb 2.87
Si  0.2500  0.2500  0.7203 (multiplicity 2)  4 Nb 2.72


In terms of stability, Q leads; the second structure lies 29 meV/atom higher.


## P
VASP calculation (PBE-GGA) on a geometry-optimized NbPt4 structure.

Results
DOS(E_F) = 5.03 states/eV/f.u.
size of the total moment = 0.00 μB per formula unit
calculated density = 18.114 Mg/m³

Unit cell a=2.8139 b=2.8139 c=35.0224 alpha=90.00 beta=90.00 gamma=120.00
With the nearest neighbours (Å) after each atom.
Space group R-3m (No. 166, hexagonal axes)
Inequivalent atoms, fractional coordinates:
Nb  0.0000  0.0000  0.0000 (multiplicity 3)  6 Pt 2.81, 6 Nb 2.81
Pt  0.0000  0.0000  0.2001 (multiplicity 6)  12 Pt 2.81-2.88
Pt  0.0000  0.0000  0.3987 (multiplicity 6)  3 Nb 2.81, 9 Pt 2.81-2.88


## Q
VASP calculation (PBE-GGA) on a geometry-optimized NbPt4 structure.

Results
DOS(E_F) = 2.82 states/eV/f.u.
size of the total moment = 0.00 μB per formula unit
calculated density = 17.816 Mg/m³

Unit cell a=4.0614 b=5.5795 c=14.3670 alpha=90.00 beta=90.00 gamma=90.00
With the nearest neighbours (Å) after each atom.
Space group Imma (No. 74)
Inequivalent atoms, fractional coordinates:
Nb  0.0000  0.2500  0.1100 (multiplicity 4)  11 Pt 2.72-2.93
Pt  0.0000  0.0000  0.5000 (multiplicity 4)  8 Pt 2.70-2.79, 4 Nb 2.93
Pt  0.0000  0.0042  0.6879 (multiplicity 8)  7 Pt 2.70-2.84, 2 Nb 2.72
Pt  0.0000  0.2500  0.9100 (multiplicity 4)  8 Pt 2.78-2.83, 3 Nb 2.80-2.87


In terms of stability, Q leads; the second structure lies 199 meV/atom higher.


## P
VASP calculation (PBE-GGA) on a geometry-optimized Rb2NbPt structure.

Results
DOS(E_F) = 4.54 states/eV/f.u.
size of the total moment = 4.04 μB per formula unit
calculated density = 3.744 Mg/m³

Unit cell a=12.6645 b=12.6645 c=5.0765 alpha=90.00 beta=90.00 gamma=90.00
With the nearest neighbours (Å) after each atom.
Space group I-42d (No. 122)
Inequivalent atoms, fractional coordinates:
Rb  0.0825  0.7500  0.1250 (multiplicity 8)  2 Pt 3.39
Nb  0.0000  0.0000  0.5000 (multiplicity 4)  2 Pt 2.54
Pt  0.0000  0.0000  0.0000 (multiplicity 4)  2 Nb 2.54


## Q
VASP calculation (PBE-GGA) on a geometry-optimized Rb2NbPt structure.

Results
DOS(E_F) = 2.12 states/eV/f.u.
size of the total moment = 5.00 μB per formula unit
calculated density = 5.818 Mg/m³

Unit cell a=8.0616 b=8.0616 c=8.0616 alpha=90.00 beta=90.00 gamma=90.00
With the nearest neighbours (Å) after each atom.
Space group Fm-3m (No. 225)
Inequivalent atoms, fractional coordinates:
Rb  0.2500  0.2500  0.2500 (multiplicity 8)  4 Nb 3.49, 4 Pt 3.49
Nb  0.0000  0.0000  0.0000 (multiplicity 4)  8 Rb 3.49
Pt  0.0000  0.0000  0.5000 (multiplicity 4)  8 Rb 3.49


In terms of stability, P leads; the second structure lies 606 meV/atom higher.